# BaMnO3

A relaxed structure of BaMnO3 (PBE+U, Alexandria).

a b c (Å): 6.5964 6.5964 6.5964
angles (deg): 48.87 48.87 48.87
Last column: magnetic moment on the atom in μB.
Sites, in units of the cell vectors:
1 Ba 0.1235 0.1235 0.1235  0.01
2 Ba 0.8765 0.8765 0.8765  0.01
3 Mn 0.3351 0.3351 0.3351  3.35
4 Mn 0.6649 0.6649 0.6649  3.35
5 O 0.3517 0.9411 0.5129  -0.12
6 O 0.5129 0.3517 0.9411  -0.12
7 O 0.9411 0.5129 0.3517  -0.12
8 O 0.6483 0.0589 0.4871  -0.12
9 O 0.0589 0.4871 0.6483  -0.12
10 O 0.4871 0.6483 0.0589  -0.12

Calculated values
* total energy: -67.2 eV per cell